No. 1
{
  "formula": "Pr2H8Rh3",
  "functional": "PBE",
  "state": "optimized geometry",
  "lattice_angstrom": [[4.9856, -2.8674, 0.0000], [4.9856, 2.8674, 0.0000], [-1.8379, 0.0000, 4.7450]],
  "species": ["Pr", "Pr", "H", "H", "H", "H", "H", "H", "H", "H", "Rh", "Rh", "Rh"],
  "frac_coords": [[0.1931, 0.1931, 0.1939], [0.8069, 0.8069, 0.8061], [0.1180, 0.1180, 0.5968], [0.2054, 0.5996, 0.1323], [0.3974, 0.3974, 0.6329], [0.4004, 0.7946, 0.8677], [0.5996, 0.2054, 0.1323], [0.6026, 0.6026, 0.3671], [0.7946, 0.4004, 0.8677], [0.8820, 0.8820, 0.4032], [0.2486, 0.7514, 0.5000], [0.5000, 0.5000, 0.0000], [0.7514, 0.2486, 0.5000]],
  "sg": "C2/m",
  "density_g_cm3": 7.33,
  "total_energy_ev_per_atom": -4.9006
}



No. 2
{
  "formula": "Cd2InTe",
  "functional": "PBE",
  "state": "optimized geometry",
  "lattice_angstrom": [[3.2138, 0.0000, 0.0000], [0.0000, 4.2466, 0.0000], [0.0000, 0.0000, 7.9782]],
  "species": ["Cd", "Cd", "In", "Te"],
  "frac_coords": [[0.0000, 0.0000, 0.0000], [0.5000, 0.5000, 0.2084], [0.0000, 0.0000, 0.4657], [0.5000, 0.5000, 0.7446]],
  "relative_energy_ev_per_fu": 0.34,
  "sg": "Pmm2",
  "density_g_cm3": 7.13,
  "e_form_raw_ev_per_atom": 0.007
}



No. 3
{
  "formula": "NaBe2AsH2",
  "functional": "PBE",
  "state": "optimized geometry",
  "lattice_angstrom": [[6.4452, 0.0000, 0.0000], [0.0000, 4.3449, 0.0000], [-2.8070, 0.0000, 5.9091]],
  "species": ["Na", "Na", "Be", "Be", "Be", "Be", "As", "As", "H", "H", "H", "H"],
  "frac_coords": [[0.1922, 0.2500, 0.3998], [0.8078, 0.7500, 0.6002], [0.3440, 0.5008, 0.0518], [0.3440, 0.9992, 0.0518], [0.6560, 0.0008, 0.9482], [0.6560, 0.4992, 0.9482], [0.3192, 0.7500, 0.7370], [0.6808, 0.2500, 0.2630], [0.1704, 0.2500, 0.0080], [0.2983, 0.7500, 0.1851], [0.7017, 0.2500, 0.8149], [0.8296, 0.7500, 0.9920]],
  "sg": "P2_1/m",
  "density_g_cm3": 2.37,
  "total_energy_ev_per_atom": -3.6193
}